# Ti4InTe8

A geometry-optimized Ti4InTe8 structure (PBE, Alexandria via LeMat-Bulk).

Cell: 8.1149 8.1149 8.1149 Å, 60.00 60.00 60.00°
Last column: nearest neighbours and their distance in Å.
Fractional positions:
Ti1 0.1070 0.1070 0.1070  6 Te 2.74-2.94
Ti2 0.1070 0.1070 0.6789  6 Te 2.74-2.94
Ti3 0.1070 0.6789 0.1070  6 Te 2.74-2.94
Ti4 0.6789 0.1070 0.1070  6 Te 2.74-2.94
In1 0.5000 0.5000 0.5000  4 Te 2.80
Te1 0.3590 0.3590 0.3590  1 In 2.80, 3 Ti 2.94
Te2 0.3590 0.3590 0.9229  1 In 2.80, 3 Ti 2.94
Te3 0.3590 0.9229 0.3590  1 In 2.80, 3 Ti 2.94
Te4 0.3879 0.8707 0.8707  3 Ti 2.74
Te5 0.8707 0.3879 0.8707  3 Ti 2.74
Te6 0.8707 0.8707 0.3879  3 Ti 2.74
Te7 0.8707 0.8707 0.8707  3 Ti 2.74
Te8 0.9229 0.3590 0.3590  1 In 2.80, 3 Ti 2.94

Space-group type: F-43m, No. 216
ΔE to the lowest computed polymorph: 0.021 eV/atom
Uncorrected formation energy: -0.6241 eV/atom

# TiInTe3

A geometry-optimized TiInTe3 structure (PBE, Alexandria via LeMat-Bulk).

Cell: 5.5863 5.5863 5.5863 Å, 90.00 90.00 90.00°
Last column: nearest neighbours and their distance in Å.
Fractional positions:
Ti1 0.0000 0.0000 0.0000  12 Te 3.95
In1 0.5000 0.5000 0.5000  6 Te 2.79
Te1 0.0000 0.5000 0.5000  2 In 2.79
Te2 0.5000 0.0000 0.5000  2 In 2.79
Te3 0.5000 0.5000 0.0000  2 In 2.79

Space-group type: Pm-3m, No. 221
ΔE to the lowest computed polymorph: 1.163 eV/atom
Uncorrected formation energy: 0.7742 eV/atom

# Ti2In2Te

A geometry-optimized Ti2In2Te structure (PBE, Alexandria via LeMat-Bulk).

Cell: 7.0631 7.0631 4.3888 Å, 90.00 90.00 90.00°
Last column: nearest neighbours and their distance in Å.
Fractional positions:
Ti1 0.1440 0.3560 0.0000  2 Te 2.71, 1 Ti 2.88, 2 In 2.97
Ti2 0.3560 0.8560 0.0000  2 Te 2.71, 1 Ti 2.88, 2 In 2.97
Ti3 0.6440 0.1440 0.0000  2 Te 2.71, 1 Ti 2.88, 2 In 2.97
Ti4 0.8560 0.6440 0.0000  2 Te 2.71, 1 Ti 2.88, 2 In 2.97
In1 0.1555 0.6555 0.5000  6 Ti 2.97-3.05, 1 In 3.11
In2 0.3445 0.1555 0.5000  6 Ti 2.97-3.05, 1 In 3.11
In3 0.6555 0.8445 0.5000  6 Ti 2.97-3.05, 1 In 3.11
In4 0.8445 0.3445 0.5000  6 Ti 2.97-3.05, 1 In 3.11
Te1 0.0000 0.0000 0.0000  4 Ti 2.71
Te2 0.5000 0.5000 0.0000  4 Ti 2.71

Space-group type: P4/mbm, No. 127
Uncorrected formation energy: -0.1780 eV/atom

# Ti2InTe2

A geometry-optimized Ti2InTe2 structure (PBE, Alexandria via LeMat-Bulk).

Cell: 4.1355 4.1355 15.4066 Å, 90.00 90.00 90.00°
Last column: nearest neighbours and their distance in Å.
Fractional positions:
Ti1 0.0000 0.5000 0.2500  4 Te 2.78, 4 Ti 2.92
Ti2 0.0000 0.5000 0.7500  4 Te 2.78, 4 Ti 2.92
Ti3 0.5000 0.0000 0.2500  4 Te 2.78, 4 Ti 2.92
Ti4 0.5000 0.0000 0.7500  4 Te 2.78, 4 Ti 2.92
In1 0.0000 0.0000 0.0000  8 Te 3.54
In2 0.5000 0.5000 0.5000  8 Te 3.54
Te1 0.0000 0.0000 0.3710  4 Ti 2.78
Te2 0.0000 0.0000 0.6290  4 Ti 2.78
Te3 0.5000 0.5000 0.1290  4 Ti 2.78
Te4 0.5000 0.5000 0.8710  4 Ti 2.78

Space-group type: I4/mmm, No. 139
ΔE to the lowest computed polymorph: 0.030 eV/atom
Uncorrected formation energy: -0.3160 eV/atom

# Ti8InTe2

A geometry-optimized Ti8InTe2 structure (PBE, Alexandria via LeMat-Bulk).

Cell: 7.1927 7.1927 5.0712 Å, 101.76 101.76 119.36°
Last column: nearest neighbours and their distance in Å.
Fractional positions:
Ti1 0.0925 0.3065 0.6370  4 Ti 2.66-2.93, 2 Te 2.77-2.79
Ti2 0.2295 0.7705 0.0000  2 Te 2.70, 1 In 2.85, 2 Ti 3.00
Ti3 0.3065 0.0925 0.6370  4 Ti 2.66-2.93, 2 Te 2.77-2.79
Ti4 0.4182 0.4182 0.1912  6 Ti 2.65-2.93, 1 In 2.79, 2 Te 2.82
Ti5 0.5818 0.5818 0.8088  6 Ti 2.65-2.93, 1 In 2.79, 2 Te 2.82
Ti6 0.6935 0.9075 0.3630  4 Ti 2.66-2.93, 2 Te 2.77-2.79
Ti7 0.7705 0.2295 0.0000  2 Te 2.70, 1 In 2.85, 2 Ti 3.00
Ti8 0.9075 0.6935 0.3630  4 Ti 2.66-2.93, 2 Te 2.77-2.79
In1 0.0000 0.0000 0.0000  8 Ti 2.79-3.07
Te1 0.3044 0.6956 0.5000  8 Ti 2.70-2.82
Te2 0.6956 0.3044 0.5000  8 Ti 2.70-2.82

Space-group type: C2/m, No. 12
Uncorrected formation energy: -0.1300 eV/atom

# Ti2InTe2

A geometry-optimized Ti2InTe2 structure (PBE, Alexandria via LeMat-Bulk).

Cell: 7.7635 7.7635 3.6164 Å, 90.00 90.00 90.00°
Last column: nearest neighbours and their distance in Å.
Fractional positions:
Ti1 0.1392 0.3608 0.0000  6 Te 2.89-2.93, 2 In 3.00, 1 Ti 3.06
Ti2 0.3608 0.8608 0.0000  6 Te 2.89-2.93, 2 In 3.00, 1 Ti 3.06
Ti3 0.6392 0.1392 0.0000  6 Te 2.89-2.93, 2 In 3.00, 1 Ti 3.06
Ti4 0.8608 0.6392 0.0000  6 Te 2.89-2.93, 2 In 3.00, 1 Ti 3.06
In1 0.0000 0.0000 0.0000  4 Ti 3.00
In2 0.5000 0.5000 0.0000  4 Ti 3.00
Te1 0.1506 0.6506 0.5000  6 Ti 2.89-2.93
Te2 0.3494 0.1506 0.5000  6 Ti 2.89-2.93
Te3 0.6506 0.8494 0.5000  6 Ti 2.89-2.93
Te4 0.8494 0.3494 0.5000  6 Ti 2.89-2.93

Space-group type: P4/mbm, No. 127
ΔE to the lowest computed polymorph: 0.000 eV/atom
Uncorrected formation energy: -0.3463 eV/atom

# Ti2InTe4

A geometry-optimized Ti2InTe4 structure (PBE, Alexandria via LeMat-Bulk).

Cell: 7.1198 7.1198 14.2508 Å, 90.00 90.00 147.77°
Last column: nearest neighbours and their distance in Å.
Fractional positions:
Ti1 0.1283 0.8717 0.5663  6 Te 2.74-2.84
Ti2 0.1283 0.8717 0.9337  6 Te 2.74-2.84
Ti3 0.8717 0.1283 0.0663  6 Te 2.74-2.84
Ti4 0.8717 0.1283 0.4337  6 Te 2.74-2.84
In1 0.3921 0.6079 0.7500  6 Te 3.14-3.29
In2 0.6079 0.3921 0.2500  6 Te 3.14-3.29
Te1 0.0701 0.9299 0.7500  2 Ti 2.74
Te2 0.2302 0.7698 0.1075  3 Ti 2.83-2.84
Te3 0.2302 0.7698 0.3925  3 Ti 2.83-2.84
Te4 0.5000 0.5000 0.0000  4 Ti 2.81
Te5 0.5000 0.5000 0.5000  4 Ti 2.81
Te6 0.7698 0.2302 0.6075  3 Ti 2.83-2.84
Te7 0.7698 0.2302 0.8925  3 Ti 2.83-2.84
Te8 0.9299 0.0701 0.2500  2 Ti 2.74

Space-group type: Cmcm, No. 63
Uncorrected formation energy: -0.4974 eV/atom

# Ti4InTe8

A geometry-optimized Ti4InTe8 structure (PBE, Alexandria via LeMat-Bulk).

Cell: 9.3194 9.3194 9.3194 Å, 48.16 48.16 48.16°
Last column: nearest neighbours and their distance in Å.
Fractional positions:
Ti1 0.0000 0.0000 0.0000  6 Te 2.78
Ti2 0.0000 0.5000 0.5000  6 Te 2.79
Ti3 0.5000 0.0000 0.5000  6 Te 2.79
Ti4 0.5000 0.5000 0.0000  6 Te 2.79
In1 0.5000 0.5000 0.5000  6 Te 3.25
Te1 0.2356 0.2356 0.7377  3 Ti 2.78-2.79
Te2 0.2356 0.7377 0.2356  3 Ti 2.78-2.79
Te3 0.2623 0.7644 0.7644  3 Ti 2.78-2.79
Te4 0.2637 0.2637 0.2637  3 Ti 2.79
Te5 0.7363 0.7363 0.7363  3 Ti 2.79
Te6 0.7377 0.2356 0.2356  3 Ti 2.78-2.79
Te7 0.7644 0.2623 0.7644  3 Ti 2.78-2.79
Te8 0.7644 0.7644 0.2623  3 Ti 2.78-2.79

Space-group type: R-3m, No. 166
ΔE to the lowest computed polymorph: 0.000 eV/atom
Uncorrected formation energy: -0.6446 eV/atom

# TiIn3Te

A geometry-optimized TiIn3Te structure (PBE, Alexandria via LeMat-Bulk).

Cell: 5.4897 5.4897 5.4897 Å, 90.00 90.00 90.00°
Last column: nearest neighbours and their distance in Å.
Fractional positions:
Ti1 0.0000 0.0000 0.0000  6 In 2.74
In1 0.0000 0.0000 0.5000  2 Ti 2.74
In2 0.0000 0.5000 0.0000  2 Ti 2.74
In3 0.5000 0.0000 0.0000  2 Ti 2.74
Te1 0.5000 0.5000 0.5000  12 In 3.88

Space-group type: Pm-3m, No. 221
ΔE to the lowest computed polymorph: 0.000 eV/atom
Uncorrected formation energy: 0.4797 eV/atom

# TiIn3Te

A geometry-optimized TiIn3Te structure (PBE, Alexandria via LeMat-Bulk).

Cell: 5.7401 5.7401 5.7401 Å, 90.00 90.00 90.00°
Last column: nearest neighbours and their distance in Å.
Fractional positions:
Ti1 0.0000 0.0000 0.0000  12 In 4.06
In1 0.0000 0.5000 0.5000  2 Te 2.87
In2 0.5000 0.0000 0.5000  2 Te 2.87
In3 0.5000 0.5000 0.0000  2 Te 2.87
Te1 0.5000 0.5000 0.5000  6 In 2.87

Space-group type: Pm-3m, No. 221
ΔE to the lowest computed polymorph: 0.622 eV/atom
Uncorrected formation energy: 1.1019 eV/atom

# Ti3InTe

A geometry-optimized Ti3InTe structure (PBE, Alexandria via LeMat-Bulk).

Cell: 5.0047 5.0047 5.0047 Å, 90.00 90.00 90.00°
Last column: nearest neighbours and their distance in Å.
Fractional positions:
Ti1 0.0000 0.0000 0.5000  2 Te 2.50
Ti2 0.0000 0.5000 0.0000  2 Te 2.50
Ti3 0.5000 0.0000 0.0000  2 Te 2.50
In1 0.5000 0.5000 0.5000  12 Ti 3.54
Te1 0.0000 0.0000 0.0000  6 Ti 2.50

Space-group type: Pm-3m, No. 221
ΔE to the lowest computed polymorph: 0.666 eV/atom
Uncorrected formation energy: 0.5563 eV/atom

# TiInTe3

A geometry-optimized TiInTe3 structure (PBE, Alexandria via LeMat-Bulk).

Cell: 9.3208 9.3208 7.8881 Å, 104.41 104.41 25.98°
Last column: nearest neighbours and their distance in Å.
Fractional positions:
Ti1 0.2117 0.2117 0.2374  7 Te 2.76-2.98
Ti2 0.7883 0.7883 0.7626  7 Te 2.76-2.98
In1 0.4658 0.4658 0.3125  1 In 2.90, 3 Te 2.95-2.97
In2 0.5342 0.5342 0.6875  1 In 2.90, 3 Te 2.95-2.97
Te1 0.0556 0.0556 0.1892  1 Ti 2.76, 2 In 2.97
Te2 0.1887 0.1887 0.5891  3 Ti 2.88-2.91
Te3 0.3259 0.3259 0.0241  3 Ti 2.90-2.98, 1 In 2.95
Te4 0.6741 0.6741 0.9759  3 Ti 2.90-2.98, 1 In 2.95
Te5 0.8113 0.8113 0.4109  3 Ti 2.88-2.91
Te6 0.9444 0.9444 0.8108  1 Ti 2.76, 2 In 2.97

Space-group type: C2/m, No. 12
ΔE to the lowest computed polymorph: 0.000 eV/atom
Uncorrected formation energy: -0.3889 eV/atom